This record from Alexandria via LeMat-Bulk describes a relaxed structure of Ce2SmRu. The functional is GGA-PBE.

Computed properties:
* energy of formation from the pure elements: -214 meV per atom
* energy above the most stable polymorph in this dataset: 0.000 eV per atom

Cell lengths 3.7389, 6.1319, 9.5434 Å; angles 90.00, 90.00, 107.71 degrees
With the nearest neighbours (Å) after each atom.
Fractional positions:
Ce 0.3598 0.7190 0.9397  2 Ru 2.70
Ce 0.6402 0.2810 0.0603  2 Ru 2.70
Ce 0.3598 0.7190 0.5603  2 Ru 2.70
Ce 0.6402 0.2810 0.4397  2 Ru 2.70
Ru 0.7971 0.5939 0.7500  4 Ce 2.70
Ru 0.2029 0.4061 0.2500  4 Ce 2.70
Sm 0.0788 0.1577 0.7500  3 Ru 3.16-3.29
Sm 0.9212 0.8423 0.2500  3 Ru 3.16-3.29